Entry from Alexandria via LeMat-Bulk: a crystal of BaAlHg relaxed with PBEsol (SCAN).

Unit cell a=7.564 b=7.564 c=7.564 alpha=90.00 beta=90.00 gamma=90.00
Space group F-43m (No. 216)
Inequivalent atoms, fractional coordinates:
Ba: 0.000 0.000 0.000 (multiplicity 4)
Al: 0.250 0.250 0.750 (multiplicity 4)
Hg: 0.250 0.250 0.250 (multiplicity 4)

Output
Energy of formation from the pure elements (eV/atom): 0.28
Polymorph energy (0 for the lowest one) (meV per atom): 700

---

Entry from Alexandria via LeMat-Bulk: a crystal of Y4FeSi relaxed with PBEsol (SCAN).

Unit cell a=8.400 b=8.400 c=8.400 alpha=90.00 beta=90.00 gamma=90.00
Space group F-43m (No. 216)
Inequivalent atoms, fractional coordinates:
Y: 0.125 0.125 0.125 (multiplicity 16)
Fe: 0.000 0.000 0.500 (multiplicity 4)
Si: 0.250 0.250 0.750 (multiplicity 4)

Output
Uncorrected formation energy (eV/atom): 0.779

---

Entry from Alexandria via LeMat-Bulk: a crystal of ScMo2Pt relaxed with PBEsol (SCAN).

Unit cell a=9.303 b=2.724 c=5.135 alpha=90.00 beta=96.39 gamma=90.00
Space group Cm (No. 8)
Inequivalent atoms, fractional coordinates:
Sc: 0.000 0.000 0.000 (multiplicity 2)
Mo: 0.229 0.000 0.696 (multiplicity 2)
Mo: 0.468 0.000 0.500 (multiplicity 2)
Pt: 0.244 0.500 0.200 (multiplicity 2)

Output
Energy of formation from the pure elements (eV/atom): -0.19
Polymorph energy (0 for the lowest one) (meV per atom): 172

---

Entry from Alexandria via LeMat-Bulk: a crystal of ZnGa2Sn relaxed with PBEsol (SCAN).

Unit cell a=7.591 b=7.591 c=5.516 alpha=90.00 beta=90.00 gamma=90.00
Space group I-42d (No. 122)
Inequivalent atoms, fractional coordinates:
Zn: 0.000 0.000 0.000 (multiplicity 4)
Ga: 0.220 0.250 0.125 (multiplicity 8)
Sn: 0.000 0.000 0.500 (multiplicity 4)

Output
Energy of formation from the pure elements (eV/atom): 0.18

---

Entry from Alexandria via LeMat-Bulk: a crystal of MnCo relaxed with PBEsol (SCAN).

Unit cell a=2.410 b=2.410 c=6.930 alpha=90.00 beta=90.00 gamma=90.00
Space group P4/nmm (No. 129, origin choice 2)
Inequivalent atoms, fractional coordinates:
Mn: 0.250 0.250 0.133 (multiplicity 2)
Co: 0.250 0.250 0.629 (multiplicity 2)

Output
Energy of formation from the pure elements (eV/atom): 0.21

---

Entry from Alexandria via LeMat-Bulk: a crystal of Cd2GeSbRu relaxed with PBEsol (SCAN).

Unit cell a=5.121 b=5.121 c=4.830 alpha=90.00 beta=90.00 gamma=90.00
Space group P4/mmm (No. 123)
Inequivalent atoms, fractional coordinates:
Cd: 0.000 0.500 0.000 (multiplicity 2)
Ge: 0.000 0.000 0.500 (multiplicity 1)
Sb: 0.500 0.500 0.500 (multiplicity 1)
Ru: 0.500 0.500 0.000 (multiplicity 1)

Output
Uncorrected formation energy (eV/atom): 0.568

---

Entry from Alexandria via LeMat-Bulk: a crystal of Na15SnGe8P relaxed with PBEsol (SCAN).

Unit cell a=17.364 b=12.672 c=11.102 alpha=90.00 beta=90.00 gamma=90.00
Space group Cmcm (No. 63)
Inequivalent atoms, fractional coordinates:
Na: 0.000 0.071 0.250 (multiplicity 4)
Na: 0.000 0.249 0.503 (multiplicity 8)
Na: 0.084 0.353 0.750 (multiplicity 8)
Na: 0.093 0.394 0.250 (multiplicity 8)
Na: 0.131 0.087 0.616 (multiplicity 16)
Na: 0.189 0.369 0.502 (multiplicity 16)
Sn: 0.000 0.500 0.000 (multiplicity 4)
Ge: 0.148 0.163 0.136 (multiplicity 16)
Ge: 0.245 0.241 0.750 (multiplicity 8)
Ge: 0.248 0.448 0.750 (multiplicity 8)
P: 0.000 0.155 0.750 (multiplicity 4)

Output
Energy of formation from the pure elements (eV/atom): -0.24

---

Entry from Alexandria via LeMat-Bulk: a crystal of ScHRh3 relaxed with PBEsol (SCAN).

Unit cell a=3.916 b=3.916 c=3.916 alpha=90.00 beta=90.00 gamma=90.00
Space group Pm-3m (No. 221)
Inequivalent atoms, fractional coordinates:
Sc: 0.000 0.000 0.000 (multiplicity 1)
H: 0.500 0.500 0.500 (multiplicity 1)
Rh: 0.000 0.500 0.500 (multiplicity 3)

Output
Polymorph energy (0 for the lowest one) (meV per atom): 0

---

Entry from Alexandria via LeMat-Bulk: a crystal of TePbI2N relaxed with PBEsol (SCAN).

Unit cell a=6.143 b=6.143 c=4.010 alpha=90.00 beta=90.00 gamma=90.00
Space group P4/mmm (No. 123)
Inequivalent atoms, fractional coordinates:
Te: 0.000 0.000 0.000 (multiplicity 1)
Pb: 0.500 0.500 0.500 (multiplicity 1)
I: 0.000 0.500 0.500 (multiplicity 2)
N: 0.500 0.500 0.000 (multiplicity 1)

Output
Uncorrected formation energy (eV/atom): 1.020
Polymorph energy (0 for the lowest one) (meV per atom): 369

---

Entry from Alexandria via LeMat-Bulk: a crystal of MgHg2Pb relaxed with PBEsol (SCAN).

Unit cell a=6.464 b=8.546 c=3.463 alpha=90.00 beta=90.69 gamma=90.00
Space group C2/m (No. 12)
Inequivalent atoms, fractional coordinates:
Mg: 0.000 0.000 0.000 (multiplicity 2)
Hg: 0.250 0.250 0.500 (multiplicity 4)
Pb: 0.000 0.500 0.000 (multiplicity 2)

Output
Energy of formation from the pure elements (eV/atom): -0.07

---

Entry from Alexandria via LeMat-Bulk: a crystal of HfAlO3 relaxed with PBEsol (SCAN).

Unit cell a=4.043 b=4.043 c=4.043 alpha=90.00 beta=90.00 gamma=90.00
Space group Pm-3m (No. 221)
Inequivalent atoms, fractional coordinates:
Hf: 0.000 0.000 0.000 (multiplicity 1)
Al: 0.500 0.500 0.500 (multiplicity 1)
O: 0.000 0.000 0.500 (multiplicity 3)

Output
Uncorrected formation energy (eV/atom): -2.268

---

Entry from Alexandria via LeMat-Bulk: a crystal of CaBeBr2 relaxed with PBEsol (SCAN).

Unit cell a=4.794 b=4.794 c=3.919 alpha=90.00 beta=90.00 gamma=90.00
Space group P4/mmm (No. 123)
Inequivalent atoms, fractional coordinates:
Ca: 0.000 0.000 0.000 (multiplicity 1)
Be: 0.500 0.500 0.000 (multiplicity 1)
Br: 0.000 0.500 0.500 (multiplicity 2)

Output
Uncorrected formation energy (eV/atom): -0.535
Polymorph energy (0 for the lowest one) (meV per atom): 109